[1]
A relaxed Cu2HgBr crystal. Source: Alexandria, functional PBE.

Properties
total energy = -2.290 eV per atom
crystal system = orthorhombic
SG = Cmmm
polymorph energy (0 for the lowest one) = 254 meV per atom
formation energy (no corrections) = 252 meV/atom

Cell: 3.5428 3.5428 7.8793 Å, 90.00 90.00 122.69°
Closest atoms and distances in Å follow each position.
Atoms (fractional coordinates):
Cu (0.0000, 0.0000, 0.2436)  2 Br 2.56, 2 Hg 2.64
Cu (0.0000, 0.0000, 0.7564)  2 Br 2.56, 2 Hg 2.64
Hg (0.5000, 0.5000, 0.5000)  4 Cu 2.64
Br (0.5000, 0.5000, 0.0000)  4 Cu 2.56

---

[2]
A relaxed HAu2I8 crystal. Source: Alexandria, functional PBE.

Properties
total energy = -1.819 eV per atom
crystal system = monoclinic
SG = C2/m

Cell: 7.8818 7.8818 8.7561 Å, 95.87 95.87 77.79°
Closest atoms and distances in Å follow each position.
Atoms (fractional coordinates):
H (0.0000, 0.0000, 0.0000)  4 I 2.51
Au (0.1417, 0.1417, 0.6497)  3 I 2.60-2.67
Au (0.8583, 0.8583, 0.3503)  3 I 2.60-2.67
I (0.1488, 0.8070, 0.2053)  1 H 2.51, 1 Au 2.67
I (0.1930, 0.8512, 0.7947)  1 H 2.51, 1 Au 2.67
I (0.3082, 0.3082, 0.4938)  1 Au 2.60
I (0.4473, 0.4473, 0.8422)  1 I 2.89
I (0.5527, 0.5527, 0.1578)  1 I 2.89
I (0.6918, 0.6918, 0.5062)  1 Au 2.60
I (0.8070, 0.1488, 0.2053)  1 H 2.51, 1 Au 2.67
I (0.8512, 0.1930, 0.7947)  1 H 2.51, 1 Au 2.67

---

[3]
A relaxed Sm5Dy2Y2 crystal. Source: Alexandria, functional PBE.

Properties
total energy = -5.032 eV per atom
crystal system = triclinic
SG = P-1
polymorph energy (0 for the lowest one) = 0 meV per atom
calculated formation energy = 49 meV per atom

Cell: 3.5722 5.5313 15.4123 Å, 100.33 96.61 90.00°
Closest atoms and distances in Å follow each position.
Atoms (fractional coordinates):
Sm (0.0000, 0.0000, 0.0000)  4 Sm 3.36-3.57, 8 Y 3.76
Sm (0.1126, 0.1113, 0.2232)  5 Sm 3.24-3.57
Sm (0.1671, 0.6672, 0.3350)  4 Sm 3.24-3.57, 1 Dy 3.43
Sm (0.8329, 0.3328, 0.6650)  4 Sm 3.24-3.57, 1 Dy 3.43
Sm (0.8874, 0.8887, 0.7768)  5 Sm 3.24-3.57
Dy (0.2818, 0.7818, 0.5631)  7 Sm 3.43-3.68, 6 Dy 3.57-3.80
Dy (0.7182, 0.2182, 0.4369)  7 Sm 3.43-3.68, 6 Dy 3.57-3.80
Y (0.4389, 0.4400, 0.8796)  3 Y 3.57-3.63, 10 Sm 3.64-3.76
Y (0.5611, 0.5600, 0.1204)  3 Y 3.57-3.63, 10 Sm 3.64-3.76

---

[4]
A relaxed Ca3YSn12 crystal. Source: Alexandria, functional PBE.

Properties
total energy = -4.177 eV per atom
crystal system = tetragonal
SG = P4/mmm
calculated formation energy = -396 meV per atom

Cell: 4.7340 4.7340 19.1139 Å, 90.00 90.00 90.00°
Closest atoms and distances in Å follow each position.
Atoms (fractional coordinates):
Ca (0.0000, 0.0000, 0.0000)  12 Sn 3.35-3.36
Ca (0.0000, 0.0000, 0.2515)  12 Sn 3.35-3.38
Ca (0.0000, 0.0000, 0.7485)  12 Sn 3.35-3.38
Y (0.0000, 0.0000, 0.5000)  12 Sn 3.35
Sn (0.0000, 0.5000, 0.1250)  8 Sn 3.35-3.37, 4 Ca 3.36-3.38
Sn (0.0000, 0.5000, 0.3762)  8 Sn 3.35-3.37, 2 Y 3.35, 2 Ca 3.36
Sn (0.0000, 0.5000, 0.6238)  8 Sn 3.35-3.37, 2 Y 3.35, 2 Ca 3.36
Sn (0.0000, 0.5000, 0.8750)  8 Sn 3.35-3.37, 4 Ca 3.36-3.38
Sn (0.5000, 0.0000, 0.1250)  8 Sn 3.35-3.37, 4 Ca 3.36-3.38
Sn (0.5000, 0.0000, 0.3762)  8 Sn 3.35-3.37, 2 Y 3.35, 2 Ca 3.36
Sn (0.5000, 0.0000, 0.6238)  8 Sn 3.35-3.37, 2 Y 3.35, 2 Ca 3.36
Sn (0.5000, 0.0000, 0.8750)  8 Sn 3.35-3.37, 4 Ca 3.36-3.38
Sn (0.5000, 0.5000, 0.0000)  4 Ca 3.35, 8 Sn 3.36
Sn (0.5000, 0.5000, 0.2505)  4 Ca 3.35, 8 Sn 3.37
Sn (0.5000, 0.5000, 0.5000)  8 Sn 3.35, 4 Y 3.35
Sn (0.5000, 0.5000, 0.7495)  4 Ca 3.35, 8 Sn 3.37

---

[5]
A relaxed Mg2Tc3 crystal. Source: Alexandria, functional PBE.

Properties
total energy = -6.634 eV per atom
crystal system = tetragonal
SG = I4/mmm
polymorph energy (0 for the lowest one) = 92 meV per atom
calculated formation energy = 224 meV per atom

Cell: 9.1634 9.1634 9.1634 Å, 161.19 161.19 26.72°
Closest atoms and distances in Å follow each position.
Atoms (fractional coordinates):
Mg (0.1036, 0.1036, 0.0000)  8 Tc 2.81-2.85, 4 Mg 2.99
Mg (0.8964, 0.8964, 0.0000)  8 Tc 2.81-2.85, 4 Mg 2.99
Tc (0.2897, 0.2897, 0.0000)  4 Tc 2.55, 4 Mg 2.85
Tc (0.5000, 0.5000, 0.0000)  8 Mg 2.81, 4 Tc 2.99
Tc (0.7103, 0.7103, 0.0000)  4 Tc 2.55, 4 Mg 2.85

---

[6]
A relaxed BeCdAs2 crystal. Source: Alexandria, functional PBE.

Properties
total energy = -2.949 eV per atom
crystal system = tetragonal
SG = P4/mmm
polymorph energy (0 for the lowest one) = 472 meV per atom
calculated formation energy = 536 meV per atom

Cell: 4.3173 4.3173 3.9493 Å, 90.00 90.00 90.00°
Closest atoms and distances in Å follow each position.
Atoms (fractional coordinates):
Be (0.0000, 0.0000, 0.0000)  8 As 2.93, 4 Cd 3.05
Cd (0.5000, 0.5000, 0.0000)  8 As 2.93, 4 Be 3.05
As (0.0000, 0.5000, 0.5000)  4 Cd 2.93, 4 Be 2.93, 4 As 3.05
As (0.5000, 0.0000, 0.5000)  4 Cd 2.93, 4 Be 2.93, 4 As 3.05

---

[7]
A relaxed Mg2BiSb2 crystal. Source: Alexandria, functional PBE.

Properties
total energy = -3.173 eV per atom
crystal system = tetragonal
SG = P4/mbm
polymorph energy (0 for the lowest one) = 0 meV per atom
formation energy (no corrections) = -110 meV/atom

Cell: 8.9163 8.9163 3.3509 Å, 90.00 90.00 90.00°
Closest atoms and distances in Å follow each position.
Atoms (fractional coordinates):
Mg (0.1373, 0.3627, 0.0000)  6 Sb 3.04-3.15, 2 Mg 3.35
Mg (0.3627, 0.8627, 0.0000)  6 Sb 3.04-3.15, 2 Mg 3.35
Mg (0.6373, 0.1373, 0.0000)  6 Sb 3.04-3.15, 2 Mg 3.35
Mg (0.8627, 0.6373, 0.0000)  6 Sb 3.04-3.15, 2 Mg 3.35
Bi (0.0000, 0.0000, 0.5000)  4 Sb 3.34, 2 Bi 3.35
Bi (0.5000, 0.5000, 0.5000)  4 Sb 3.34, 2 Bi 3.35
Sb (0.1614, 0.6614, 0.5000)  6 Mg 3.04-3.15, 2 Bi 3.34, 2 Sb 3.35
Sb (0.3386, 0.1614, 0.5000)  6 Mg 3.04-3.15, 2 Bi 3.34, 2 Sb 3.35
Sb (0.6614, 0.8386, 0.5000)  6 Mg 3.04-3.15, 2 Bi 3.34, 2 Sb 3.35
Sb (0.8386, 0.3386, 0.5000)  6 Mg 3.04-3.15, 2 Bi 3.34, 2 Sb 3.35

---

Question: Which formula does entry 5 have?
Answer: Mg2Tc3

---

Question: What is the total energy in the sixth record?
Answer: -2.949 eV per atom

---

Question: Which of these has the lowest total energy?
Answer: Mg2Tc3